1.
Density functional theory data (PBE) for a relaxed structure of GaBi2HPb.

Total energy = -3.44 eV/atom
Total magnetization = 0.00 μB/cell
Symmetry = No. 123
DOS(E_F) = 0.399 states/eV/atom

a b c (Å): 6.0136 6.0136 3.4584
angles (deg): 90.00 90.00 90.00
Last column: nearest neighbours and their distance in Å.
Sites, in units of the cell vectors:
H1 0.0000 0.0000 0.5000  2 Ga 1.73
Bi1 0.5000 0.0000 0.0000  2 Ga 3.01
Bi2 0.0000 0.5000 0.0000  2 Ga 3.01
Pb1 0.5000 0.5000 0.5000  2 Pb 3.46, 8 Bi 3.47
Ga1 0.0000 0.0000 0.0000  2 H 1.73

***

2.
Density functional theory data (PBE) for a relaxed structure of NiOsRh2.

Total energy = -7.82 eV/atom
Total magnetization = 1.42 μB/cell
Energy relative to the lowest polymorph listed for this composition = 75 meV per atom
Symmetry = No. 160
DOS(E_F) = 1.612 states/eV/atom
Energy relative to the elements = 0.112 eV/atom

a b c (Å): 8.7736 8.7736 8.7736
angles (deg): 17.72 17.72 17.72
Last column: nearest neighbours and their distance in Å.
Sites, in units of the cell vectors:
Rh1 0.0017 0.0017 0.0017  3 Os 2.67, 9 Rh 2.70-2.76
Rh2 0.2470 0.2470 0.2470  3 Ni 2.62, 9 Rh 2.70-2.76
Ni1 0.4991 0.4991 0.4991  3 Os 2.60, 3 Rh 2.62, 6 Ni 2.70
Os1 0.7522 0.7522 0.7522  3 Ni 2.60, 3 Rh 2.67, 6 Os 2.70

***

3.
Density functional theory data (PBE) for a relaxed structure of K2SnSe.

Total energy = -2.76 eV/atom
Total magnetization = 0.00 μB/cell
E_form (uncorrected) = -33.1 kJ per mole of atoms
Energy relative to the lowest polymorph listed for this composition = 0 meV per atom
Symmetry = No. 122
DOS(E_F) = 0.783 states/eV/atom

a b c (Å): 9.7377 9.7377 7.5436
angles (deg): 49.80 49.80 90.00
Last column: nearest neighbours and their distance in Å.
Sites, in units of the cell vectors:
K1 0.5615 0.1250 0.2500  2 Se 3.13, 2 K 3.32
K2 0.1885 0.6250 0.2500  2 Se 3.13, 2 K 3.32
K3 0.8750 0.8115 0.7500  2 Se 3.13, 2 K 3.32
K4 0.3750 0.4385 0.7500  2 Se 3.13, 2 K 3.32
Sn1 0.7500 0.2500 0.5000  2 Se 3.08
Sn2 0.0000 0.0000 0.0000  2 Se 3.08
Se1 0.5000 0.5000 0.0000  2 Sn 3.08, 4 K 3.13
Se2 0.2500 0.7500 0.5000  2 Sn 3.08, 4 K 3.13

***

4.
Density functional theory data (PBE) for a relaxed structure of TcTeIr2.

Total energy = -7.48 eV/atom
Total magnetization = 0.00 μB/cell
E_form (uncorrected) = 31.5 kJ per mole of atoms
Symmetry = No. 47
DOS(E_F) = 0.820 states/eV/atom

a b c (Å): 2.9367 3.8792 5.8209
angles (deg): 90.00 90.00 90.00
Last column: nearest neighbours and their distance in Å.
Sites, in units of the cell vectors:
Ir1 0.0000 0.0000 0.0262  1 Ir 2.61, 4 Tc 2.76, 4 Te 2.92
Ir2 0.0000 0.0000 0.4738  1 Ir 2.61, 4 Tc 2.76, 4 Te 2.92
Tc1 0.5000 0.5000 0.2500  8 Ir 2.76, 2 Te 2.91, 2 Tc 2.94
Te1 0.5000 0.5000 0.7500  2 Tc 2.91, 8 Ir 2.92, 2 Te 2.94

***

5.
Density functional theory data (PBE) for a relaxed structure of SrBr5.

Total energy = -2.28 eV/atom
Total magnetization = 0.00 μB/cell
E_form (uncorrected) = -58.7 kJ per mole of atoms
Energy relative to the lowest polymorph listed for this composition = 341 meV per atom
Symmetry = No. 123
DOS(E_F) = 0.852 states/eV/atom

a b c (Å): 3.8226 3.8226 14.0868
angles (deg): 90.00 90.00 90.00
Last column: nearest neighbours and their distance in Å.
Sites, in units of the cell vectors:
Br1 0.5000 0.5000 0.6194  5 Br 3.18-3.36
Br2 0.0000 0.0000 0.5000  8 Br 3.18
Br3 0.5000 0.5000 0.3806  5 Br 3.18-3.36
Br4 0.0000 0.0000 0.1235  4 Sr 3.21, 1 Br 3.48
Br5 0.0000 0.0000 0.8765  4 Sr 3.21, 1 Br 3.48
Sr1 0.5000 0.5000 0.0000  8 Br 3.21

***

6.
Density functional theory data (PBE) for a relaxed structure of AcLaPmY.

Total energy = -4.97 eV/atom
Total magnetization = 0.00 μB/cell
Symmetry = No. 119
DOS(E_F) = 1.824 states/eV/atom
Energy relative to the elements = 0.092 eV/atom

a b c (Å): 6.1254 6.1254 5.8657
angles (deg): 121.48 121.48 90.00
Last column: nearest neighbours and their distance in Å.
Sites, in units of the cell vectors:
Pm1 0.7500 0.2500 0.5000  4 Ac 3.65, 4 La 3.65, 2 Y 3.96
La1 0.5000 0.5000 0.0000  4 Pm 3.65, 4 Y 3.65, 2 Ac 3.96
Ac1 0.0000 0.0000 0.0000  4 Pm 3.65, 4 Y 3.65, 2 La 3.96
Y1 0.2500 0.7500 0.5000  4 Ac 3.65, 4 La 3.65, 2 Pm 3.96

***

Q: The lowest DOS(E_F) belongs to which entry?
A: GaBi2HPb